*A*
# Re2BrCl

Re2BrCl after structural relaxation (PBE, Alexandria).

Computed properties:
space group = No. 123
calculated volume = 16.48 Å³ per atom
magnetic moment = 0.00 μB per cell
Fermi-level density of states = 4.76 states/eV per cell

Structure (POSCAR):
```
Re2BrCl
1.0
-0.3571 -1.3429 -3.7846
-3.3414 -2.0289 1.0352
-2.2494 3.2284 -0.9333
Re Cl Br
2 1 1
direct
0.0000 0.5000 0.5000
0.0000 0.0000 0.0000
0.5000 0.0000 0.5000
0.5000 0.5000 0.0000
```

*B*
# Re2BrCl

Re2BrCl after structural relaxation (PBE, Alexandria).

Computed properties:
space group = No. 47
calculated volume = 17.06 Å³ per atom
magnetic moment = 0.29 μB per cell
Fermi-level density of states = 4.23 states/eV per cell

Structure (POSCAR):
```
Re2BrCl
1.0
-1.8483 1.9750 -0.9353
-3.1075 -0.9351 4.1664
2.1971 3.1690 2.3500
Re Cl Br
2 1 1
direct
0.5000 0.5000 0.0000
0.0000 0.0000 0.0000
0.0000 0.5000 0.5000
0.5000 0.0000 0.5000
```

*C*
# Re2BrCl

Re2BrCl after structural relaxation (PBE, Alexandria).

Computed properties:
space group = No. 216
calculated volume = 17.37 Å³ per atom
magnetic moment = 0.21 μB per cell
Fermi-level density of states = 2.13 states/eV per cell

Structure (POSCAR):
```
Re2BrCl
1.0
-0.3201 -2.6556 -3.7605
-3.1949 -3.3231 -0.2129
-3.6093 0.4478 -2.8405
Re Br Cl
2 1 1
direct
0.0000 0.0000 0.0000
0.2500 0.2500 0.2500
0.5000 0.5000 0.5000
0.7500 0.7500 0.7500
```

Result of the stability comparison: *A* is the least stable of them.

*A*
# ReBrCl

ReBrCl after structural relaxation (PBE, Alexandria).

Computed properties:
space group = No. 107
calculated volume = 21.23 Å³ per atom
magnetic moment = 0.00 μB per cell
Fermi-level density of states = 1.36 states/eV per cell

Structure (POSCAR):
```
ReBrCl
1.0
6.8582 -0.0142 0.0000
5.4361 4.1814 0.0000
-6.1471 -2.0836 2.2150
Br Cl Re
1 1 1
direct
0.0526 0.0526 0.0000
0.2907 0.2907 0.0000
0.6567 0.6567 0.0000
```

*B*
# ReBrCl

ReBrCl after structural relaxation (PBE, Alexandria).

Computed properties:
space group = No. 42
calculated volume = 22.67 Å³ per atom
magnetic moment = 0.43 μB per cell
Fermi-level density of states = 3.17 states/eV per cell

Structure (POSCAR):
```
ReBrCl
1.0
-5.3476 -3.3779 -5.2311
-3.6633 -5.7951 -3.7564
-3.0330 0.9824 0.8305
Cl Re Br
1 1 1
direct
0.7081 0.7081 0.2919
0.3298 0.3298 0.6702
0.9622 0.9622 0.0378
```

*C*
# ReBrCl

ReBrCl after structural relaxation (PBE, Alexandria).

Computed properties:
space group = No. 216
calculated volume = 26.67 Å³ per atom
magnetic moment = 5.00 μB per cell
Fermi-level density of states = 1.10 states/eV per cell

Structure (POSCAR):
```
ReBrCl
1.0
4.8369 0.0000 0.0000
2.4184 4.1889 0.0000
2.4184 1.3963 3.9493
Br Re Cl
1 1 1
direct
0.7500 0.7500 0.7500
0.5000 0.5000 0.5000
0.0000 0.0000 0.0000
```

Result of the stability comparison: *C* is the least stable of them.

*A*
# ReBrCl

ReBrCl after structural relaxation (PBE, Alexandria).

Computed properties:
space group = No. 11
calculated volume = 32.69 Å³ per atom
magnetic moment = 0.00 μB per cell
Fermi-level density of states = 0.48 states/eV per cell

Structure (POSCAR):
```
ReBrCl
1.0
-0.1166 0.5066 3.3413
3.9514 -6.2106 1.0794
9.5455 -0.4979 0.4084
Cl Re Br
2 2 2
direct
0.9497 0.1539 0.1054
0.4497 0.0217 0.7192
0.9497 0.5076 0.0186
0.4497 0.6681 0.8060
0.4497 0.5717 0.2033
0.9497 0.6040 0.6213
```

*B*
# ReBrCl

ReBrCl after structural relaxation (PBE, Alexandria).

Computed properties:
space group = No. 216
calculated volume = 19.32 Å³ per atom
magnetic moment = 0.40 μB per cell
Fermi-level density of states = 2.80 states/eV per cell

Structure (POSCAR):
```
ReBrCl
1.0
-2.6288 1.2914 3.2075
-4.3066 -0.3403 -0.4516
-2.2015 -2.9390 2.3200
Cl Re Br
1 1 1
direct
0.5000 0.5000 0.5000
0.7500 0.7500 0.7500
0.0000 0.0000 0.0000
```

Result of the stability comparison: *B* is the least stable of them.

*A*
# ReBrCl

ReBrCl after structural relaxation (PBE, Alexandria).

Computed properties:
space group = No. 9
calculated volume = 23.60 Å³ per atom
magnetic moment = 0.01 μB per cell
Fermi-level density of states = 11.67 states/eV per cell

Structure (POSCAR):
```
ReBrCl
1.0
6.7983 0.0000 0.0000
3.3991 7.2988 1.0433
3.3991 2.4483 8.9122
Cl Br Re
6 6 6
direct
0.0579 0.2737 0.0012
0.3747 0.5754 0.4834
0.2481 0.7496 0.0916
0.9107 0.2496 0.5916
0.6672 0.7737 0.5012
0.5665 0.0754 0.9834
0.5900 0.5313 0.8732
0.0055 0.0313 0.3732
0.9826 0.7635 0.7958
0.4160 0.0816 0.6981
0.8043 0.5816 0.1981
0.4580 0.2635 0.2958
0.7556 0.1389 0.0950
0.9949 0.3272 0.7615
0.9164 0.8272 0.2615
0.0105 0.6389 0.5950
0.5964 0.8089 0.9502
0.6446 0.3089 0.4502
```

*B*
# ReBrCl

ReBrCl after structural relaxation (PBE, Alexandria).

Computed properties:
space group = No. 156
calculated volume = 24.52 Å³ per atom
magnetic moment = 1.00 μB per cell
Fermi-level density of states = 1.71 states/eV per cell

Structure (POSCAR):
```
ReBrCl
1.0
3.6149 0.0000 0.0000
-1.8074 3.1306 0.0000
0.0000 0.0000 6.5005
Br Cl Re
1 1 1
direct
0.0000 0.0000 0.8873
0.6667 0.3333 0.4537
0.3333 0.6667 0.6590
```

Result of the stability comparison: *B* is the least stable of them.